(1)
{
  "formula": "Sm4ErTh3",
  "functional": "PBE",
  "state": "relaxed",
  "formation_enthalpy_0k_ev_per_fu": 0.26,
  "lattice": [[5.068, 0.000, 0.000], [0.000, 10.221, 0.000], [0.000, 0.000, 10.150]],
  "species": ["Th", "Th", "Th", "Th", "Th", "Th", "Sm", "Sm", "Sm", "Sm", "Sm", "Sm", "Sm", "Sm", "Er", "Er"],
  "fractional_positions": [[0.564, 0.620, 0.000], [0.064, 0.620, 0.248], [0.564, 0.380, 0.252], [0.064, 0.380, 0.500], [0.564, 0.380, 0.748], [0.064, 0.620, 0.752], [0.064, 0.865, 0.000], [0.564, 0.129, 0.000], [0.064, 0.132, 0.251], [0.564, 0.868, 0.249], [0.064, 0.871, 0.500], [0.564, 0.135, 0.500], [0.564, 0.868, 0.751], [0.064, 0.132, 0.749], [0.064, 0.380, 0.000], [0.564, 0.620, 0.500]]
}

(2)
{
  "formula": "KTl2InBr6",
  "functional": "PBE",
  "state": "relaxed",
  "formation_energy_uncorrected_mev_per_atom": -1018,
  "lattice": [[8.102, 0.000, 0.001], [4.051, 7.016, 0.000], [4.051, 2.339, 6.759]],
  "species": ["K", "Tl", "Tl", "In", "Br", "Br", "Br", "Br", "Br", "Br"],
  "fractional_positions": [[0.815, 0.815, 0.555], [0.533, 0.533, 0.401], [0.024, 0.024, 0.928], [0.323, 0.323, 0.031], [0.552, 0.197, 0.251], [0.197, 0.999, 0.251], [0.999, 0.552, 0.251], [0.436, 0.658, 0.782], [0.658, 0.123, 0.783], [0.123, 0.436, 0.782]]
}

(3)
{
  "formula": "Ca2AcPm",
  "functional": "PBE",
  "state": "relaxed",
  "formation_enthalpy_0k_ev_per_fu": 0.13,
  "lattice": [[-2.175, -0.901, 6.155], [3.204, -1.983, 0.842], [7.218, 11.420, -0.563]],
  "species": ["Ca", "Ca", "Ca", "Ca", "Ac", "Ac", "Pm", "Pm"],
  "fractional_positions": [[0.511, 0.250, 0.130], [0.489, 0.750, 0.870], [0.001, 0.750, 0.125], [0.999, 0.250, 0.875], [0.332, 0.250, 0.379], [0.668, 0.750, 0.621], [0.839, 0.750, 0.386], [0.161, 0.250, 0.614]]
}